1.
DFT (GGA-PBE) results for a relaxed structure of MnCuPt6.

abc: 3.9205 3.9205 7.8151
angles: 90.00 90.00 90.00
With the nearest neighbours (Å) after each atom.
Fractional coordinates of all 8 atoms:
Cu  0.0000  0.0000  0.5000  12 Pt 2.76-2.77
Pt  0.5000  0.5000  0.5000  8 Pt 2.76, 4 Cu 2.77
Pt  0.5000  0.0000  0.2508  8 Pt 2.76-2.77, 2 Cu 2.76, 2 Mn 2.77
Pt  0.5000  0.5000  0.0000  4 Mn 2.77, 8 Pt 2.77
Pt  0.5000  0.0000  0.7492  2 Cu 2.76, 8 Pt 2.76-2.77, 2 Mn 2.77
Pt  0.0000  0.5000  0.7492  2 Cu 2.76, 8 Pt 2.76-2.77, 2 Mn 2.77
Pt  0.0000  0.5000  0.2508  8 Pt 2.76-2.77, 2 Cu 2.76, 2 Mn 2.77
Mn  0.0000  0.0000  0.0000  12 Pt 2.77

Results
ΔE to the lowest computed polymorph   0.0000 eV per atom
Space group   P4/mmm (123)
Crystal system   tetragonal
Volume   120 Å³/f.u.
VASP energy   -51.4 eV per formula unit
Calculated formation energy   -0.238 eV/atom

***

2.
DFT (GGA-PBE) results for a relaxed structure of Sc6TlPd12.

abc: 7.6769 7.6769 7.6769
angles: 110.94 110.94 110.94
With the nearest neighbours (Å) after each atom.
Fractional coordinates of all 19 atoms:
Pd  0.7394  0.1136  0.1739  5 Sc 2.77-2.97, 6 Pd 2.83-3.07, 1 Tl 2.98
Pd  0.2606  0.8864  0.8261  5 Sc 2.77-2.97, 6 Pd 2.83-3.07, 1 Tl 2.98
Pd  0.6703  0.5203  0.7931  3 Sc 2.69-2.74, 6 Pd 2.83-2.99, 1 Tl 2.96
Pd  0.8864  0.8261  0.2606  5 Sc 2.77-2.97, 6 Pd 2.83-3.07, 1 Tl 2.98
Pd  0.5203  0.7931  0.6703  3 Sc 2.69-2.74, 6 Pd 2.83-2.99, 1 Tl 2.96
Pd  0.1136  0.1739  0.7394  5 Sc 2.77-2.97, 6 Pd 2.83-3.07, 1 Tl 2.98
Pd  0.8261  0.2606  0.8864  5 Sc 2.77-2.97, 6 Pd 2.83-3.07, 1 Tl 2.98
Pd  0.3297  0.4797  0.2069  3 Sc 2.69-2.74, 6 Pd 2.83-2.99, 1 Tl 2.96
Pd  0.1739  0.7394  0.1136  5 Sc 2.77-2.97, 6 Pd 2.83-3.07, 1 Tl 2.98
Pd  0.4797  0.2069  0.3297  3 Sc 2.69-2.74, 6 Pd 2.83-2.99, 1 Tl 2.96
Pd  0.7931  0.6703  0.5203  3 Sc 2.69-2.74, 6 Pd 2.83-2.99, 1 Tl 2.96
Pd  0.2069  0.3297  0.4797  3 Sc 2.69-2.74, 6 Pd 2.83-2.99, 1 Tl 2.96
Tl  0.0000  0.0000  0.0000  12 Pd 2.96-2.98
Sc  0.6434  0.9213  0.4279  8 Pd 2.69-2.97
Sc  0.3566  0.0787  0.5721  8 Pd 2.69-2.97
Sc  0.4279  0.6434  0.9213  8 Pd 2.69-2.97
Sc  0.5721  0.3566  0.0787  8 Pd 2.69-2.97
Sc  0.9213  0.4279  0.6434  8 Pd 2.69-2.97
Sc  0.0787  0.5721  0.3566  8 Pd 2.69-2.97

Results
Space group   R-3 (148)
Crystal system   trigonal
Volume   328 Å³/f.u.
VASP energy   -116.3 eV per formula unit
Calculated formation energy   -0.720 eV/atom

***

3.
DFT (GGA-PBE) results for a relaxed structure of Pr6Sn2SbTe3.

abc: 4.5602 9.1343 10.1984
angles: 102.97 102.92 90.00
With the nearest neighbours (Å) after each atom.
Fractional coordinates of all 12 atoms:
Sb  0.5000  0.0000  0.0000  6 Pr 3.19-3.20
Pr  0.3349  0.9097  0.6697  2 Sn 3.18, 1 Sb 3.20, 3 Te 3.27
Pr  0.9968  0.7539  0.9936  1 Sn 3.16, 2 Sb 3.19, 3 Te 3.26-3.27
Pr  0.3314  0.4221  0.6627  3 Sn 3.19, 3 Te 3.26-3.27
Pr  0.0032  0.2461  0.0064  1 Sn 3.16, 2 Sb 3.19, 3 Te 3.26-3.27
Pr  0.6686  0.5779  0.3373  3 Sn 3.19, 3 Te 3.26-3.27
Pr  0.6651  0.0903  0.3303  2 Sn 3.18, 1 Sb 3.20, 3 Te 3.27
Te  0.8341  0.1663  0.6682  6 Pr 3.27
Te  0.5000  0.5000  0.0000  6 Pr 3.26
Te  0.1659  0.8337  0.3318  6 Pr 3.27
Sn  0.1667  0.3331  0.3333  6 Pr 3.16-3.19
Sn  0.8333  0.6669  0.6667  6 Pr 3.16-3.19

Results
Space group   C2/m (12)
Formation energy without anion corrections   -1.218 eV per atom
Crystal system   monoclinic
Volume   403 Å³/f.u.
VASP energy   -64.8 eV per formula unit

***

4.
DFT (GGA-PBE) results for a relaxed structure of BaFe3Co.

abc: 4.8217 4.8217 4.8217
angles: 90.00 90.00 90.00
With the nearest neighbours (Å) after each atom.
Fractional coordinates of all 5 atoms:
Fe  0.0000  0.0000  0.5000  2 Ba 2.41
Fe  0.0000  0.5000  0.0000  2 Ba 2.41
Fe  0.5000  0.0000  0.0000  2 Ba 2.41
Co  0.5000  0.5000  0.5000  12 Fe 3.41
Ba  0.0000  0.0000  0.0000  6 Fe 2.41

Results
ΔE to the lowest computed polymorph   2.0451 eV per atom
Space group   Pm-3m (221)
Crystal system   cubic
Volume   112 Å³/f.u.
VASP energy   -20.5 eV per formula unit
Calculated formation energy   2.782 eV/atom

***

5.
DFT (GGA-PBE) results for a relaxed structure of Sc6Sb3Te.

abc: 7.1637 8.6685 8.6685
angles: 104.35 90.00 90.00
With the nearest neighbours (Å) after each atom.
Fractional coordinates of all 20 atoms:
Sc  0.2508  0.4655  0.9241  3 Sb 2.91-2.94, 1 Te 3.08
Sc  0.7435  0.9957  0.0043  4 Sb 2.92-3.02, 2 Te 2.98-3.03
Sc  0.1134  0.7536  0.2464  1 Te 2.85, 3 Sb 2.99
Sc  0.1605  0.3910  0.2822  4 Sb 2.89-2.92
Sc  0.6134  0.2464  0.7536  1 Te 2.85, 3 Sb 2.99
Sc  0.6605  0.6090  0.7178  4 Sb 2.89-2.92
Sc  0.7508  0.9241  0.4655  3 Sb 2.91-2.94, 1 Te 3.08
Sc  0.1605  0.7178  0.6090  4 Sb 2.89-2.92
Sc  0.6605  0.2822  0.3910  4 Sb 2.89-2.92
Sc  0.7508  0.5345  0.0759  3 Sb 2.91-2.94, 1 Te 3.08
Sc  0.2508  0.0759  0.5345  3 Sb 2.91-2.94, 1 Te 3.08
Sc  0.2435  0.0043  0.9957  4 Sb 2.92-3.02, 2 Te 2.98-3.03
Sb  0.9874  0.7190  0.9105  7 Sc 2.89-3.02
Sb  0.4874  0.9105  0.7190  7 Sc 2.89-3.02
Sb  0.4874  0.2810  0.0895  7 Sc 2.89-3.02
Sb  0.9874  0.0895  0.2810  7 Sc 2.89-3.02
Sb  0.8430  0.5876  0.4124  7 Sc 2.90-2.99
Sb  0.3430  0.4124  0.5876  7 Sc 2.90-2.99
Te  0.4880  0.8238  0.1762  5 Sc 2.85-3.08
Te  0.9880  0.1762  0.8238  5 Sc 2.85-3.08

Results
Space group   Cmc2_1 (36)
Formation energy without anion corrections   -0.734 eV per atom
Crystal system   orthorhombic
Volume   261 Å³/f.u.
VASP energy   -60.8 eV per formula unit

***

6.
DFT (GGA-PBE) results for a relaxed structure of Mg2BeAs.

abc: 6.9926 4.2596 3.7817
angles: 90.09 57.13 125.44
With the nearest neighbours (Å) after each atom.
Fractional coordinates of all 4 atoms:
As  0.0000  0.5000  0.5000  8 Mg 2.85, 4 Be 2.94-3.09
Be  0.5000  0.5000  0.0000  8 Mg 2.85, 4 As 2.94-3.09
Mg  0.5000  0.0000  0.5000  4 As 2.85, 4 Be 2.85, 4 Mg 2.94-3.09
Mg  0.0000  0.0000  0.0000  4 Be 2.85, 4 As 2.85, 4 Mg 2.94-3.09

Results
ΔE to the lowest computed polymorph   0.2405 eV per atom
Space group   C2/m (12)
Crystal system   monoclinic
Volume   69 Å³/f.u.
VASP energy   -11.3 eV per formula unit
Calculated formation energy   0.064 eV/atom

***

7.
DFT (GGA-PBE) results for a relaxed structure of PmYSb.

abc: 4.1276 5.0917 5.0917
angles: 120.00 90.00 90.00
With the nearest neighbours (Å) after each atom.
Fractional coordinates of all 3 atoms:
Pm  0.0465  0.0000  0.0000  3 Sb 3.26, 6 Y 3.54-3.64
Sb  0.3854  0.3333  0.6667  3 Y 3.03, 3 Pm 3.26
Y  0.5681  0.6667  0.3333  3 Sb 3.03

Results
ΔE to the lowest computed polymorph   0.3790 eV per atom
Space group   P3m1 (156)
Formation energy without anion corrections   -0.472 eV per atom
Crystal system   trigonal
Volume   93 Å³/f.u.
VASP energy   -16.8 eV per formula unit

***

8.
DFT (GGA-PBE) results for a relaxed structure of SbAs2Se.

abc: 4.1147 5.1662 4.8200
angles: 70.98 90.00 90.00
With the nearest neighbours (Å) after each atom.
Fractional coordinates of all 4 atoms:
Se  0.5000  0.7500  0.7500  2 Sb 2.90, 4 As 2.91
As  0.0000  0.4668  0.5326  1 As 2.52
As  0.0000  0.0332  0.9674  1 As 2.52
Sb  0.5000  0.2500  0.2500  4 As 2.89, 2 Se 2.90

Results
ΔE to the lowest computed polymorph   0.0405 eV per atom
Space group   P2/m (10)
Formation energy without anion corrections   0.056 eV per atom
Crystal system   monoclinic
Volume   97 Å³/f.u.
VASP energy   -16.7 eV per formula unit